Compound: Dy2TiB2Rh5
Source: the Alexandria database
Functional: GGA-PBE
Structure: optimized geometry

a = 3.2112 Å, b = 9.5491 Å, c = 9.5491 Å
α = 90.00°, β = 90.00°, γ = 90.00°
Positions (direct):
Dy1 0.0000 0.6753 0.1753
Dy2 0.0000 0.3247 0.8247
Dy3 0.0000 0.1753 0.3247
Dy4 0.0000 0.8247 0.6753
Ti1 0.0000 0.0000 0.0000
Ti2 0.0000 0.5000 0.5000
B1 0.0000 0.1210 0.6210
B2 0.0000 0.8790 0.3790
B3 0.0000 0.6210 0.8790
B4 0.0000 0.3790 0.1210
Rh1 0.5000 0.2195 0.0697
Rh2 0.5000 0.7805 0.9303
Rh3 0.5000 0.0697 0.7805
Rh4 0.5000 0.7195 0.4303
Rh5 0.5000 0.9303 0.2195
Rh6 0.5000 0.2805 0.5697
Rh7 0.5000 0.5697 0.7195
Rh8 0.5000 0.4303 0.2805
Rh9 0.5000 0.5000 0.0000
Rh10 0.5000 0.0000 0.5000

E_form   -0.807 eV per atom
Raw total energy   -7.528 eV per atom
Magnetic moment   0.0 μB per formula unit